TaRe2Ir after structural relaxation, computed with PBE-GGA.

Results
Crystal system: tetragonal
Energy relative to the elements, eV per atom: -0.144
Energy relative to the lowest polymorph listed for this composition, meV per atom: 68.1
Electronic total energy, eV per atom: -11.547

```
4
Lattice="-4.841 0.834 -0.368 -2.324 -0.839 4.261 3.981 2.640 -1.210" Properties=species:S:1:pos:R:3 pbc="T T T"
Ir -0.963 0.899 2.499
Re -7.165 -0.005 3.893
Re -3.583 -0.002 1.947
Ta -2.221 1.736 0.184
```